[1]
First-principles (PBE-GGA) data for Tm6SiPb2 after structural relaxation, as listed in Alexandria.

Properties
uncorrected formation energy: -0.355 eV per atom
total magnetization: 0.0 μB per formula unit
E: -4.7623 eV per atom

a b c (Å): 6.204 8.228 11.576
angles (deg): 90.00 121.11 90.00
Fractional coordinates of all 18 atoms:
1 Tm 0.083 0.176 0.453
2 Tm 0.083 0.324 0.953
3 Tm 0.324 0.687 0.451
4 Tm 0.324 0.813 0.951
5 Tm 0.388 0.035 0.266
6 Tm 0.388 0.465 0.766
7 Tm 0.612 0.535 0.234
8 Tm 0.612 0.965 0.734
9 Tm 0.676 0.187 0.049
10 Tm 0.676 0.313 0.549
11 Tm 0.917 0.676 0.047
12 Tm 0.917 0.824 0.547
13 Si 0.000 0.000 0.000
14 Si 0.000 0.500 0.500
15 Pb 0.164 0.115 0.753
16 Pb 0.164 0.385 0.253
17 Pb 0.836 0.615 0.747
18 Pb 0.836 0.885 0.247

---

[2]
First-principles (PBE-GGA) data for CsWAu3 after structural relaxation, as listed in Alexandria.

Properties
ΔE_f: 2.41 eV per atom
total magnetization: 4.1 μB per formula unit
energy above the lowest structure with this stoichiometry: 1.810 eV/atom
E: -2.3180 eV per atom

a b c (Å): 5.838 5.838 5.838
angles (deg): 90.00 90.00 90.00
Fractional coordinates of all 5 atoms:
1 Cs 0.000 0.000 0.000
2 W 0.500 0.500 0.500
3 Au 0.000 0.000 0.500
4 Au 0.000 0.500 0.000
5 Au 0.500 0.000 0.000